(1)
Here is MgCoNiOs2 after structural relaxation from Alexandria via LeMat-Bulk. Energies are from PBE-GGA.

abc: 4.4324 4.4324 4.3769
angles: 90.00 90.00 90.00
Space group P4/mmm (No. 123)
Inequivalent atoms, fractional coordinates:
Mg 0.0000 0.0000 0.0000 [1 per cell]
Co 0.5000 0.5000 0.0000 [1 per cell]
Ni 0.0000 0.0000 0.5000 [1 per cell]
Os 0.0000 0.5000 0.5000 [2 per cell]

Calculated values
Energy relative to the elements in kJ/mol of formula units: 748



(2)
Here is MgPaCoNi after structural relaxation from Alexandria via LeMat-Bulk. Energies are from PBE-GGA.

abc: 6.4428 6.4428 6.4428
angles: 90.00 90.00 90.00
Space group F-43m (No. 216)
Inequivalent atoms, fractional coordinates:
Mg 0.0000 0.0000 0.0000 [4 per cell]
Pa 0.0000 0.0000 0.5000 [4 per cell]
Co 0.2500 0.2500 0.2500 [4 per cell]
Ni 0.2500 0.2500 0.7500 [4 per cell]

Calculated values
Energy relative to the elements in kJ/mol of formula units: -62



(3)
Here is PmMgCoNi after structural relaxation from Alexandria via LeMat-Bulk. Energies are from PBE-GGA.

abc: 6.5379 6.5379 6.5379
angles: 90.00 90.00 90.00
Space group F-43m (No. 216)
Inequivalent atoms, fractional coordinates:
Pm 0.0000 0.0000 0.0000 [4 per cell]
Mg 0.0000 0.0000 0.5000 [4 per cell]
Co 0.2500 0.2500 0.7500 [4 per cell]
Ni 0.2500 0.2500 0.2500 [4 per cell]

Calculated values
Energy relative to the elements in kJ/mol of formula units: -9



(4)
Here is MgCoNiRh after structural relaxation from Alexandria via LeMat-Bulk. Energies are from PBE-GGA.

abc: 5.9581 5.9581 5.9581
angles: 90.00 90.00 90.00
Space group F-43m (No. 216)
Inequivalent atoms, fractional coordinates:
Mg 0.0000 0.0000 0.0000 [4 per cell]
Co 0.0000 0.0000 0.5000 [4 per cell]
Ni 0.2500 0.2500 0.7500 [4 per cell]
Rh 0.2500 0.2500 0.2500 [4 per cell]

Calculated values
Energy relative to the elements in kJ/mol of formula units: -17



(5)
Here is MgCoSiNi after structural relaxation from Alexandria via LeMat-Bulk. Energies are from PBE-GGA.

abc: 5.7564 5.7564 5.7564
angles: 90.00 90.00 90.00
Space group F-43m (No. 216)
Inequivalent atoms, fractional coordinates:
Mg 0.0000 0.0000 0.0000 [4 per cell]
Co 0.2500 0.2500 0.2500 [4 per cell]
Si 0.0000 0.0000 0.5000 [4 per cell]
Ni 0.2500 0.2500 0.7500 [4 per cell]

Calculated values
Formation energy (no corrections) in eV per atom: -0.33



(6)
Here is MgTaCoNi after structural relaxation from Alexandria via LeMat-Bulk. Energies are from PBE-GGA.

abc: 6.0622 6.0622 6.0622
angles: 90.00 90.00 90.00
Space group F-43m (No. 216)
Inequivalent atoms, fractional coordinates:
Mg 0.0000 0.0000 0.0000 [4 per cell]
Ta 0.0000 0.0000 0.5000 [4 per cell]
Co 0.2500 0.2500 0.2500 [4 per cell]
Ni 0.2500 0.2500 0.7500 [4 per cell]

Calculated values
Energy relative to the elements in kJ/mol of formula units: -51



| no. | D(E_F) (states/eV/cell) |
| --- | --- |
| 1 | 9.60 |
| 2 | 21.79 |
| 3 | 13.73 |
| 4 | 28.07 |
| 5 | 12.59 |
| 6 | 16.68 |